[1]
Here is a relaxed BeRh2W crystal from Alexandria. Energies are from PBE.

Calculated formation energy (eV per atom): -0.223
Crystal system: orthorhombic
Calculated total energy (eV/atom): -8.069

Cell lengths 4.936, 4.936, 4.410 Å; angles 63.43, 63.43, 33.01 degrees
Positions (direct):
Rh: 0.966 0.966 0.034
W: 0.750 0.750 0.750
Rh: 0.534 0.534 0.466
Be: 0.250 0.250 0.250

***

[2]
Here is a relaxed Be2RhW crystal from Alexandria. Energies are from PBE.

Calculated formation energy (eV per atom): 0.103
Crystal system: orthorhombic
Calculated total energy (eV/atom): -6.836
Relative energy among the computed polymorphs (eV/atom): 0.354

Cell lengths 4.792, 4.792, 4.792 Å; angles 146.64, 122.99, 67.69 degrees
Positions (direct):
W: 0.250 0.750 0.500
Be: 0.514 0.514 0.000
Be: 0.986 0.986 0.000
Rh: 0.750 0.250 0.500